Computed, not measured: a geometry-optimized TbCeGaTc structure at the PBE-GGA level of DFT.

Values from the calculation:
Crystal system: cubic
ΔE_f in eV/atom: -0.219
Space-group type: F-43m (216)
Density of states at the Fermi level in states/eV per atom: 0.6846

a = 4.9890 Å, b = 4.9890 Å, c = 4.9890 Å
α = 60.00°, β = 60.00°, γ = 60.00°
Last column: nearest neighbours and their distance in Å.
Sites, in units of the cell vectors:
Tb: 0.0000 0.0000 0.0000  4 Tc 3.06, 4 Ga 3.06
Ce: 0.5000 0.5000 0.5000  4 Ga 3.06, 4 Tc 3.06
Ga: 0.7500 0.7500 0.7500  4 Tb 3.06, 4 Ce 3.06
Tc: 0.2500 0.2500 0.2500  4 Ce 3.06, 4 Tb 3.06